Material: Co3O2F4
Method: DFT, PBE+U
State: relaxed

a = 7.7832 Å, b = 4.6789 Å, c = 5.6456 Å
α = 90.00°, β = 93.05°, γ = 90.00°
With the nearest neighbours (Å) after each atom.
Space group P2_1/c (No. 14)
One atom of each set of equivalent atoms:
Co 0.0000 0.0000 0.0000 (multiplicity 2)  4 F 2.03-2.06, 2 O 2.03
Co 0.3248 0.0406 0.3448 (multiplicity 4)  2 O 1.79-2.01
O 0.2303 0.2044 0.0366 (multiplicity 4)  2 Co 1.79-2.01
F 0.1090 0.7017 0.7947 (multiplicity 4)  3 Co 2.03-2.06
F 0.4322 0.7059 0.1365 (multiplicity 4)  3 Co 2.04-2.15

## Properties
The total energy comes out at -5.21 eV per atom.